Record 1
Here is an optimized crystal structure of PaBiH2 from Alexandria. Energies are from PBE.

Geometry as CIF:
```
data_PaBiH2
_space_group_name_H-M_alt 'P 1'
_space_group_IT_number 1
_space_group_name_Hall 'P 1'
_cell_length_a 5.321
_cell_length_b 5.321
_cell_length_c 5.321
_cell_angle_alpha 42.39
_cell_angle_beta 42.39
_cell_angle_gamma 42.39
loop_
_atom_site_label
_atom_site_type_symbol
_atom_site_fract_x
_atom_site_fract_y
_atom_site_fract_z
Pa1 Pa 0.000 0.000 0.000
Bi1 Bi 0.500 0.500 0.500
H1 H 0.303 0.303 0.303
H2 H 0.697 0.697 0.697
```

Values from the calculation:
- crystal system = trigonal
- uncorrected energy (eV/atom) = -5.358
- calculated volume (Å³/atom) = 15.50
- offset from the most stable computed form (meV/atom) = 0



Record 2
Here is an optimized crystal structure of Rb2RhCl6F from Alexandria. Energies are from PBE.

Geometry as CIF:
```
data_Rb2RhCl6F
_space_group_name_H-M_alt 'P 1'
_space_group_IT_number 1
_space_group_name_Hall 'P 1'
_cell_length_a 7.073
_cell_length_b 7.073
_cell_length_c 7.073
_cell_angle_alpha 114.41
_cell_angle_beta 114.41
_cell_angle_gamma 100.00
loop_
_atom_site_label
_atom_site_type_symbol
_atom_site_fract_x
_atom_site_fract_y
_atom_site_fract_z
Rb1 Rb 0.250 0.750 0.500
Rb2 Rb 0.750 0.250 0.500
Rh1 Rh 0.000 0.000 0.000
Cl1 Cl 0.216 0.216 0.432
Cl2 Cl 0.216 0.784 0.000
Cl3 Cl 0.261 0.261 0.000
Cl4 Cl 0.739 0.739 0.000
Cl5 Cl 0.784 0.216 0.000
Cl6 Cl 0.784 0.784 0.568
F1 F 0.500 0.500 0.000
```

Values from the calculation:
- crystal system = tetragonal
- formation energy (no corrections) (eV/atom) = -1.052
- uncorrected energy (eV/atom) = -3.276
- calculated volume (Å³/atom) = 26.70



Record 3
Here is an optimized crystal structure of LiCa2PmO4 from Alexandria. Energies are from PBE.

Geometry as CIF:
```
data_LiCa2PmO4
_space_group_name_H-M_alt 'P 1'
_space_group_IT_number 1
_space_group_name_Hall 'P 1'
_cell_length_a 5.757
_cell_length_b 3.471
_cell_length_c 5.881
_cell_angle_alpha 90.00
_cell_angle_beta 107.86
_cell_angle_gamma 90.00
loop_
_atom_site_label
_atom_site_type_symbol
_atom_site_fract_x
_atom_site_fract_y
_atom_site_fract_z
Li1 Li 0.000 0.000 0.000
Ca1 Ca 0.000 0.500 0.500
Ca2 Ca 0.500 0.000 0.500
Pm1 Pm 0.500 0.500 0.000
O1 O 0.254 0.000 0.759
O2 O 0.264 0.500 0.261
O3 O 0.736 0.500 0.739
O4 O 0.746 0.000 0.241
```

Values from the calculation:
- crystal system = monoclinic
- formation energy (no corrections) (eV/atom) = -2.804
- uncorrected energy (eV/atom) = -6.616
- calculated volume (Å³/atom) = 13.98



Record 4
Here is an optimized crystal structure of TmPaPSe from Alexandria. Energies are from PBE.

Geometry as CIF:
```
data_TmPaPSe
_space_group_name_H-M_alt 'P 1'
_space_group_IT_number 1
_space_group_name_Hall 'P 1'
_cell_length_a 7.440
_cell_length_b 7.440
_cell_length_c 7.440
_cell_angle_alpha 30.16
_cell_angle_beta 30.16
_cell_angle_gamma 30.16
loop_
_atom_site_label
_atom_site_type_symbol
_atom_site_fract_x
_atom_site_fract_y
_atom_site_fract_z
Tm1 Tm 0.000 0.000 0.000
Pa1 Pa 0.815 0.815 0.815
P1 P 0.406 0.406 0.406
Se1 Se 0.242 0.242 0.242
```

Values from the calculation:
- crystal system = trigonal
- formation energy (no corrections) (eV/atom) = -1.411
- uncorrected energy (eV/atom) = -7.127
- calculated volume (Å³/atom) = 23.03



Record 5
Here is an optimized crystal structure of Rb2TiCl4 from Alexandria. Energies are from PBE.

Geometry as CIF:
```
data_Rb2TiCl4
_space_group_name_H-M_alt 'P 1'
_space_group_IT_number 1
_space_group_name_Hall 'P 1'
_cell_length_a 7.626
_cell_length_b 7.626
_cell_length_c 4.189
_cell_angle_alpha 90.00
_cell_angle_beta 90.00
_cell_angle_gamma 90.00
loop_
_atom_site_label
_atom_site_type_symbol
_atom_site_fract_x
_atom_site_fract_y
_atom_site_fract_z
Rb1 Rb 0.000 0.500 0.000
Rb2 Rb 0.500 0.000 0.000
Ti1 Ti 0.000 0.000 0.500
Cl1 Cl 0.223 0.223 0.500
Cl2 Cl 0.223 0.777 0.500
Cl3 Cl 0.777 0.223 0.500
Cl4 Cl 0.777 0.777 0.500
```

Values from the calculation:
- crystal system = tetragonal
- formation energy (no corrections) (eV/atom) = -1.615
- uncorrected energy (eV/atom) = -4.075
- calculated volume (Å³/atom) = 34.81
- offset from the most stable computed form (meV/atom) = 95



Record 6
Here is an optimized crystal structure of RbAsOsBr2 from Alexandria. Energies are from PBE.

Geometry as CIF:
```
data_RbAsOsBr2
_space_group_name_H-M_alt 'P 1'
_space_group_IT_number 1
_space_group_name_Hall 'P 1'
_cell_length_a 6.273
_cell_length_b 6.273
_cell_length_c 6.477
_cell_angle_alpha 90.00
_cell_angle_beta 90.00
_cell_angle_gamma 90.00
loop_
_atom_site_label
_atom_site_type_symbol
_atom_site_fract_x
_atom_site_fract_y
_atom_site_fract_z
Rb1 Rb 0.000 0.000 0.000
As1 As 0.000 0.000 0.500
Os1 Os 0.500 0.500 0.500
Br1 Br 0.000 0.500 0.000
Br2 Br 0.500 0.000 0.000
```

Values from the calculation:
- crystal system = tetragonal
- formation energy (no corrections) (eV/atom) = 1.639
- uncorrected energy (eV/atom) = -2.399
- calculated volume (Å³/atom) = 50.97
- offset from the most stable computed form (meV/atom) = 1804



Record 7
Here is an optimized crystal structure of ZnFeAg3 from Alexandria. Energies are from PBE.

Geometry as CIF:
```
data_ZnFeAg3
_space_group_name_H-M_alt 'P 1'
_space_group_IT_number 1
_space_group_name_Hall 'P 1'
_cell_length_a 4.883
_cell_length_b 4.883
_cell_length_c 4.883
_cell_angle_alpha 90.00
_cell_angle_beta 90.00
_cell_angle_gamma 90.00
loop_
_atom_site_label
_atom_site_type_symbol
_atom_site_fract_x
_atom_site_fract_y
_atom_site_fract_z
Zn1 Zn 0.000 0.000 0.000
Fe1 Fe 0.500 0.500 0.500
Ag1 Ag 0.000 0.500 0.500
Ag2 Ag 0.500 0.000 0.500
Ag3 Ag 0.500 0.500 0.000
```

Values from the calculation:
- crystal system = cubic
- uncorrected energy (eV/atom) = -2.680
- formation energy (eV/atom) = 0.978
- calculated volume (Å³/atom) = 23.28
- offset from the most stable computed form (meV/atom) = 33



Record 8
Here is an optimized crystal structure of HfZr2MoN from Alexandria. Energies are from PBE.

Geometry as CIF:
```
data_HfZr2MoN
_space_group_name_H-M_alt 'P 1'
_space_group_IT_number 1
_space_group_name_Hall 'P 1'
_cell_length_a 4.526
_cell_length_b 4.526
_cell_length_c 4.316
_cell_angle_alpha 90.00
_cell_angle_beta 90.00
_cell_angle_gamma 90.00
loop_
_atom_site_label
_atom_site_type_symbol
_atom_site_fract_x
_atom_site_fract_y
_atom_site_fract_z
Hf1 Hf 0.000 0.000 0.000
Zr1 Zr 0.000 0.500 0.500
Zr2 Zr 0.500 0.000 0.500
Mo1 Mo 0.500 0.500 0.000
N1 N 0.000 0.000 0.500
```

Values from the calculation:
- crystal system = tetragonal
- formation energy (no corrections) (eV/atom) = -0.610
- uncorrected energy (eV/atom) = -9.851
- calculated volume (Å³/atom) = 17.68